No. 1
A plane-wave DFT calculation with GGA-PBE was carried out for GaNi2SeS2 after structural relaxation.

Cell: 6.456 6.456 6.443 Å, 99.64 99.64 119.53°
Fractional coordinates of all 12 atoms:
Ga (0.093, 0.907, 0.500)
Ga (0.907, 0.093, 0.000)
Ni (0.257, 0.737, 0.974)
Ni (0.375, 0.539, 0.473)
Ni (0.539, 0.375, 0.973)
Ni (0.737, 0.257, 0.474)
Se (0.752, 0.938, 0.594)
Se (0.938, 0.752, 0.094)
S (0.112, 0.590, 0.614)
S (0.294, 0.462, 0.113)
S (0.462, 0.294, 0.613)
S (0.590, 0.112, 0.114)

Values from the calculation:
Its crystal system is monoclinic. The space group is No. 9. The uncorrected energy is -4.7294 eV/atom.

No. 2
A plane-wave DFT calculation with GGA-PBE was carried out for NdDy2HoIn2 after structural relaxation.

Cell: 5.422 5.422 6.775 Å, 90.00 90.00 120.00°
Fractional coordinates of all 6 atoms:
Nd (0.000, 0.000, 0.000)
Dy (0.667, 0.333, 0.255)
Dy (0.667, 0.333, 0.745)
Ho (0.333, 0.667, 0.500)
In (0.000, 0.000, 0.500)
In (0.333, 0.667, 0.000)

Values from the calculation:
Its crystal system is hexagonal. The space group is No. 187. The uncorrected energy is -4.3484 eV/atom.

No. 3
A plane-wave DFT calculation with GGA-PBE was carried out for PmBMo after structural relaxation.

Cell: 4.230 4.230 4.230 Å, 60.00 60.00 60.00°
Fractional coordinates of all 3 atoms:
Pm (0.000, 0.000, 0.000)
B (0.750, 0.750, 0.750)
Mo (0.500, 0.500, 0.500)

Values from the calculation:
Its crystal system is cubic. The space group is No. 216. The uncorrected energy is -6.8777 eV/atom.